TlHg3 | GGA-PBEsol | optimized geometry

Unit cell a=5.869 b=5.869 c=5.869 alpha=90.00 beta=90.00 gamma=90.00
Atoms (fractional coordinates):
Hg1 0.250 0.500 0.000
Hg2 0.500 0.000 0.750
Hg3 0.000 0.750 0.500
Hg4 0.000 0.250 0.500
Hg5 0.750 0.500 0.000
Hg6 0.500 0.000 0.250
Tl1 0.500 0.500 0.500
Tl2 0.000 0.000 0.000

The density of states at the Fermi level is 3.224 states/eV per cell. As for the formation energy: 0.014 eV/atom. The calculation puts the size of the total moment at 0.00 μB per atom. The total energy is -8.6 eV for the cell shown.